No. 1
{"formula": "ZnFeSe2", "functional": "PBE-GGA", "state": "relaxed", "sg": "P4mm, No. 99", "final_energy_ev_per_atom": -4.3026, "raw_formation_energy_kj_per_mol_atoms": -12.2, "total_magnetization_mub_per_fu": 3.8, "cell": [[3.601, 0.000, 0.000], [0.000, 3.601, 0.000], [0.000, 0.000, 6.197]], "species": ["Zn", "Fe", "Se", "Se"], "fractional_positions": [[0.000, 0.000, 0.000], [0.500, 0.500, 0.325], [0.000, 0.000, 0.414], [0.500, 0.500, 0.914]]}

---

No. 2
{"formula": "ZnFeSe3", "functional": "PBE-GGA", "state": "relaxed", "sg": "Pm-3m, No. 221", "final_energy_ev_per_atom": -3.7069, "relative_energy_kj_per_mol_atoms": 0.0, "raw_formation_energy_kj_per_mol_atoms": 32.0, "total_magnetization_mub_per_fu": 3.1, "cell": [[4.772, 0.000, 0.000], [0.000, 4.772, 0.000], [0.000, 0.000, 4.772]], "species": ["Zn", "Fe", "Se", "Se", "Se"], "fractional_positions": [[0.000, 0.000, 0.000], [0.500, 0.500, 0.500], [0.000, 0.500, 0.500], [0.500, 0.000, 0.500], [0.500, 0.500, 0.000]]}